SmCd2Pd after structural relaxation. Source: Alexandria, functional PBE.

Summary:
As for the crystal system: cubic. The value obtained for the formation energy from the elements is -0.36 eV/atom. For the volume, the calculation gives 87.54 Å³/f.u.

Unit cell a=7.048 b=7.048 c=7.048 alpha=90.00 beta=90.00 gamma=90.00
Space group Fm-3m (No. 225)
Symmetry-distinct sites (fractional):
Sm: 0.000 0.000 0.000 x4
Cd: 0.250 0.250 0.250 x8
Pd: 0.000 0.000 0.500 x4


Sm5Cd4Pd after structural relaxation. Source: Alexandria, functional PBE.

Summary:
As for the crystal system: tetragonal. The value obtained for the formation energy from the elements is -0.41 eV/atom. For the volume, the calculation gives 266.89 Å³/f.u.

Unit cell a=3.757 b=3.757 c=18.910 alpha=90.00 beta=90.00 gamma=90.00
Space group P4/mmm (No. 123)
Symmetry-distinct sites (fractional):
Sm: 0.000 0.000 0.000 x1
Sm: 0.000 0.000 0.206 x2
Sm: 0.000 0.000 0.412 x2
Cd: 0.500 0.500 0.103 x2
Cd: 0.500 0.500 0.306 x2
Pd: 0.500 0.500 0.500 x1


SmCd4Pd4 after structural relaxation. Source: Alexandria, functional PBE.

Summary:
As for the crystal system: tetragonal. The value obtained for the formation energy from the elements is -0.35 eV/atom. For the volume, the calculation gives 182.02 Å³/f.u.

Unit cell a=8.698 b=8.698 c=4.812 alpha=90.00 beta=90.00 gamma=90.00
Space group P4_2/n (No. 86, origin choice 2)
Symmetry-distinct sites (fractional):
Sm: 0.250 0.250 0.250 x2
Cd: 0.111 0.842 0.657 x8
Pd: 0.051 0.136 0.835 x8


SmCd5Pd2 after structural relaxation. Source: Alexandria, functional PBE.

Summary:
As for the crystal system: orthorhombic. The value obtained for the formation energy from the elements is -0.36 eV/atom. For the volume, the calculation gives 176.14 Å³/f.u.

Unit cell a=4.013 b=8.637 c=10.164 alpha=90.00 beta=90.00 gamma=90.00
Space group Immm (No. 71)
Symmetry-distinct sites (fractional):
Sm: 0.000 0.000 0.000 x2
Cd: 0.000 0.191 0.349 x8
Cd: 0.000 0.500 0.000 x2
Pd: 0.000 0.500 0.279 x4


Sm6CdPd after structural relaxation. Source: Alexandria, functional PBE.

Summary:
As for the crystal system: monoclinic. The value obtained for the formation energy from the elements is -0.03 eV/atom. For the volume, the calculation gives 257.31 Å³/f.u.

Unit cell a=7.035 b=11.995 c=6.829 alpha=90.00 beta=116.74 gamma=90.00
Space group C2/m (No. 12)
Symmetry-distinct sites (fractional):
Sm: 0.224 0.202 0.245 x8
Sm: 0.235 0.000 0.772 x4
Cd: 0.000 0.500 0.500 x2
Pd: 0.000 0.000 0.000 x2


SmCd12Pd6 after structural relaxation. Source: Alexandria, functional PBE.

Summary:
As for the crystal system: trigonal. The value obtained for the formation energy from the elements is -0.22 eV/atom. For the volume, the calculation gives 407.02 Å³/f.u.

Unit cell a=12.4794 b=12.4794 c=9.0534 alpha=90.00 beta=90.00 gamma=120.00
Space group R-3m (No. 166, hexagonal axes)
Symmetry-distinct sites (fractional):
Sm: 0.0000 0.0000 0.0000 x3
Cd: 0.0000 0.3843 0.5000 x18
Cd: 0.0834 0.1668 0.3042 x18
Pd: 0.0546 0.5273 0.2439 x18


Sm2Cd2SnPd5 after structural relaxation. Source: Alexandria, functional PBE.

Summary:
As for the crystal system: tetragonal. The value obtained for the formation energy from the elements is -0.53 eV/atom. For the volume, the calculation gives 204.63 Å³/f.u.

Unit cell a=10.451 b=10.451 c=3.747 alpha=90.00 beta=90.00 gamma=90.00
Space group P4/mbm (No. 127)
Symmetry-distinct sites (fractional):
Sm: 0.168 0.332 0.000 x4
Cd: 0.131 0.631 0.000 x4
Sn: 0.000 0.000 0.000 x2
Pd: 0.000 0.500 0.500 x2
Pd: 0.034 0.800 0.500 x8


SmCdSnPd after structural relaxation. Source: Alexandria, functional PBE.

Summary:
As for the crystal system: cubic. The value obtained for the formation energy from the elements is -0.54 eV/atom. For the volume, the calculation gives 89.51 Å³/f.u.

Unit cell a=7.101 b=7.101 c=7.101 alpha=90.00 beta=90.00 gamma=90.00
Space group F-43m (No. 216)
Symmetry-distinct sites (fractional):
Sm: 0.000 0.000 0.000 x4
Cd: 0.250 0.250 0.250 x4
Sn: 0.000 0.000 0.500 x4
Pd: 0.250 0.250 0.750 x4